{"formula": "Sc3AlPd", "functional": "PBE-GGA", "state": "relaxed", "relative_energy_ev_per_fu": 0.00, "e_form_ev_per_atom": -0.0256, "spacegroup": "Pm-3m", "m_tot_mub_per_atom": 0.00, "lattice_angstrom": [[5.0177, 0.0000, 0.0000], [0.0000, 5.0177, 0.0000], [0.0000, 0.0000, 5.0177]], "species": ["Sc", "Sc", "Sc", "Al", "Pd"], "fractional_positions": [[0.0000, 0.0000, 0.5000], [0.0000, 0.5000, 0.0000], [0.5000, 0.0000, 0.0000], [0.5000, 0.5000, 0.5000], [0.0000, 0.0000, 0.0000]]}

***

{"formula": "ScAl2Pd", "functional": "PBE-GGA", "state": "relaxed", "e_form_ev_per_atom": -0.5879, "spacegroup": "R-3m", "m_tot_mub_per_atom": 0.00, "lattice_angstrom": [[2.1223, 1.2253, 4.6109], [-2.1223, 1.2253, 4.6109], [0.0000, -2.4507, 4.6109]], "species": ["Sc", "Al", "Al", "Pd"], "fractional_positions": [[0.0000, 0.0000, 0.0000], [0.2188, 0.2188, 0.2188], [0.7812, 0.7812, 0.7812], [0.5000, 0.5000, 0.5000]]}

***

{"formula": "ScAlPd3", "functional": "PBE-GGA", "state": "relaxed", "relative_energy_ev_per_fu": 5.67, "e_form_ev_per_atom": 0.3668, "spacegroup": "Pm-3m", "m_tot_mub_per_atom": 0.00, "lattice_angstrom": [[4.7464, 0.0000, 0.0000], [0.0000, 4.7464, 0.0000], [0.0000, 0.0000, 4.7464]], "species": ["Sc", "Al", "Pd", "Pd", "Pd"], "fractional_positions": [[0.0000, 0.0000, 0.0000], [0.5000, 0.5000, 0.5000], [0.0000, 0.0000, 0.5000], [0.0000, 0.5000, 0.0000], [0.5000, 0.0000, 0.0000]]}

***

Number 1: density 3.53 g cm⁻³. Number 2: density 4.74 g cm⁻³. Number 3: density 6.08 g cm⁻³.